# MnPdC3

MnPdC3 after structural relaxation (GGA-PBE, the Alexandria database).

```
MnPdC3
1.0
3.951 0.000 0.000
0.000 3.951 0.000
0.000 0.000 3.951
Mn Pd C
1 1 3
direct
0.000 0.000 0.000
0.500 0.500 0.500
0.000 0.500 0.500
0.500 0.000 0.500
0.500 0.500 0.000
```

Symmetry: Pm-3m
Calculated volume (Å³ per atom): 12.3
Energy above the lowest structure with this stoichiometry (meV per atom): 1326
Electronic total energy (eV/atom): -5.37